La2TmAg, optimized geometry, DFT PBE-GGA; offset from the most stable computed form = 0.342 eV/atom; calculated formation energy = 24 kJ per mole of atoms; N(E_F) = 1.39 states/eV/atom
1.0
1.749 1.010 12.063
-1.749 1.010 12.063
0.000 -2.019 12.063
La Tm Ag
2 1 1
Direct
0.085 0.085 0.085 La
0.915 0.915 0.915 La
0.500 0.500 0.500 Tm
0.000 0.000 0.000 Ag